The following is a DFT calculation (PBE) of ZrFeSnHg after structural relaxation.

Lattice parameters (Å, degrees): 4.7316 4.7316 4.7316 60.00 60.00 60.00
Positions (direct):
Fe1 0.7500 0.7500 0.7500
Hg1 0.5000 0.5000 0.5000
Sn1 0.0000 0.0000 0.0000
Zr1 0.2500 0.2500 0.2500

Computed properties:
Electronic total energy = -20.6 eV per cell
Distance to the lowest polymorph of the same formula = 0.000 eV per atom